An optimized crystal structure of CaGaNi, computed with PBE.

POSCAR file:
```
CaGaNi
1.0
-1.159 -3.011 -0.557
2.519 -1.276 1.657
-3.447 2.395 3.850
Ni Ca Ga
1 1 1
Direct
0.702 0.702 0.405
0.004 0.004 0.008
0.294 0.294 0.587
```


An optimized crystal structure of Ca2Ga4Ni, computed with PBE.

POSCAR file:
```
Ca2Ga4Ni
1.0
4.524 0.000 0.000
0.000 4.524 0.000
2.262 2.262 7.872
Ni Ca Ga
1 2 4
Direct
0.000 0.000 0.000
0.343 0.343 0.315
0.657 0.657 0.685
0.152 0.152 0.697
0.848 0.848 0.303
0.000 0.500 0.000
0.500 0.000 0.000
```


An optimized crystal structure of CaGa12Ni6, computed with PBE.

POSCAR file:
```
CaGa12Ni6
1.0
-4.161 -4.834 2.763
5.463 0.248 4.291
-3.340 5.997 1.093
Ca Ga Ni
1 12 6
Direct
0.000 0.000 0.000
0.885 0.115 0.500
0.850 0.593 0.593
0.593 0.593 0.850
0.407 0.150 0.407
0.407 0.407 0.150
0.150 0.407 0.407
0.115 0.500 0.885
0.500 0.885 0.115
0.115 0.885 0.500
0.885 0.500 0.115
0.500 0.115 0.885
0.593 0.850 0.593
0.706 0.283 0.283
0.283 0.283 0.706
0.283 0.706 0.283
0.717 0.717 0.294
0.294 0.717 0.717
0.717 0.294 0.717
```


Calculated E, -11.7 -23.9 -79.2 eV per formula unit (same order as the records).
Calculated formation energy, -29 -28 -31 kJ/mol of atoms (same order as the records).